Crystalline Na2TlHgO4 at its relaxed geometry. Source: the Alexandria database, functional PBE.

Lattice parameters (Å, degrees): 6.0612 3.3279 6.1904 90.00 113.71 90.00
Last column: nearest neighbours and their distance in Å.
Space group P2/m (No. 10)
Inequivalent atoms, fractional coordinates:
Na (0.0000, 0.0000, 0.0000)  6 O 2.47-2.61
Na (0.0000, 0.5000, 0.5000)  6 O 2.42-2.50
Tl (0.5000, 0.0000, 0.5000)  6 O 2.26-2.53
Hg (0.5000, 0.5000, 0.0000)  4 O 2.23
O (0.2571, 0.5000, 0.2854)  2 Tl 2.26, 3 Na 2.42-2.47
O (0.2836, 0.0000, 0.7744)  2 Hg 2.23

Properties
Raw total energy = -31.8 eV for the cell shown
Uncorrected formation energy = -0.831 eV/atom

=====

Crystalline Ce2ErTl2Cd2 at its relaxed geometry. Source: the Alexandria database, functional PBE.

Lattice parameters (Å, degrees): 4.8584 4.8584 26.8991 90.00 90.00 120.00
Last column: nearest neighbours and their distance in Å.
Space group R-3m (No. 166, hexagonal axes)
Inequivalent atoms, fractional coordinates:
Ce (0.0000, 0.0000, 0.1454)  3 Ce 3.03, 3 Cd 3.20
Er (0.0000, 0.0000, 0.0000)  6 Tl 3.20
Tl (0.0000, 0.0000, 0.2760)  3 Cd 2.93, 3 Er 3.20
Cd (0.0000, 0.0000, 0.4216)  3 Tl 2.93, 3 Ce 3.20

Properties
Formation energy from the elements = -94 meV per atom
Raw total energy = -71.0 eV for the cell shown

=====

Crystalline Pr2NdDySc at its relaxed geometry. Source: the Alexandria database, functional PBE.

Lattice parameters (Å, degrees): 8.3223 11.5216 7.2515 90.00 90.00 90.00
Last column: nearest neighbours and their distance in Å.
Space group Cmcm (No. 63)
Inequivalent atoms, fractional coordinates:
Pr (0.2000, 0.0000, 0.0000)  2 Sc 3.09, 1 Pr 3.33
Nd (0.0000, 0.2280, 0.2500)  1 Sc 3.00
Dy (0.0000, 0.2436, 0.7500)  1 Sc 3.09
Sc (0.0000, 0.4881, 0.2500)  1 Nd 3.00, 4 Pr 3.09, 1 Dy 3.09

Properties
Formation energy from the elements = 349 meV per atom
Raw total energy = -94.1 eV for the cell shown